Density functional theory data (GGA-PBE) for a relaxed MnNbCoHSe crystal.

Cell and atoms, written as extended XYZ:
```
5
Lattice="-0.507 -2.991 -1.772 2.714 1.348 -3.052 4.191 -1.465 1.273" Properties=species:S:1:pos:R:3 pbc="T T T"
H 5.398 -0.691 -2.253
Se 0.572 -2.493 -1.316
Nb 4.244 -1.422 -0.691
Mn 5.096 -2.186 -3.126
Co 2.555 -2.164 -2.437
```

Computed properties:
N(E_F) = 0.757 states/eV per atom
crystal system = monoclinic
distance to the lowest polymorph of the same formula = 61 kJ/mol of formula units
M_tot = 2.27 μB per formula unit
mass density = 7.102 Mg/m³